Compound: BaNaNdWO6
Source: the Alexandria database
Functional: GGA+U
Structure: relaxed

SG: F-43m (216)
energy: -70.50 eV per formula unit

Cell lengths 6.065, 6.065, 6.065 Å; angles 60.00, 60.00, 60.00 degrees
Fractional coordinates of all 10 atoms:
Ba: 0.250 0.250 0.250
Na: 0.750 0.750 0.750
Nd: 0.000 0.000 0.000
W: 0.500 0.500 0.500
O: 0.272 0.728 0.272
O: 0.728 0.272 0.728
O: 0.272 0.728 0.728
O: 0.728 0.272 0.272
O: 0.272 0.272 0.728
O: 0.728 0.728 0.272